# 1
This record from Alexandria via LeMat-Bulk describes a geometry-optimized Li5AlSi2O8 structure. The functional is PBE-GGA.

Cell and atoms, written as extended XYZ:
```
16
Lattice="3.659 -3.671 0.000 3.659 3.671 0.000 -0.012 0.000 6.308" Properties=species:S:1:pos:R:3 pbc="T T T"
Li 0.000 0.000 0.000
Li 2.248 1.597 4.667
Li 5.058 1.597 1.642
Li 3.653 -0.984 3.154
Li 3.653 -3.604 3.154
Al 3.659 -0.953 0.000
Si 2.358 1.454 1.594
Si 4.948 1.454 4.714
O 1.458 1.381 2.934
O 3.439 2.658 1.562
O 3.867 2.658 4.746
O 3.271 0.036 1.412
O 4.035 0.036 4.896
O 2.298 -2.102 6.066
O 5.847 1.381 3.375
O 5.007 -2.102 0.242
```

## Properties
The calculation puts the final energy at -0.482 Ry/atom.

***

# 2
This record from Alexandria via LeMat-Bulk describes a geometry-optimized LiAlSi2O6 structure. The functional is PBE-GGA.

Cell and atoms, written as extended XYZ:
```
10
Lattice="2.649 -4.576 0.000 2.649 4.576 0.000 0.000 0.000 5.522" Properties=species:S:1:pos:R:3 pbc="T T T"
Li 0.000 0.000 0.000
Al 2.649 0.000 0.000
Si 1.324 2.288 1.834
Si 1.324 -2.288 3.687
O 1.486 0.958 0.905
O 2.649 2.493 2.761
O 1.486 -0.958 4.616
O 3.812 0.958 4.616
O 2.649 -2.493 2.761
O 3.812 -0.958 0.905
```

## Properties
The calculation puts the relative energy among the computed polymorphs at 2 meV per atom. The calculation puts the final energy at -0.546 Ry/atom.

***

Question: final energy of number 2 (LiAlSi2O6)?
Answer: -0.546 Ry/atom